VASP calculation (PBE) on a relaxed TmPaIrPt crystal.

Values from the calculation:
Energy of formation, eV per atom: -1.105
Offset from the most stable computed form, meV per atom: 0.0
Density, g/cm3: 15.2
SG: Amm2 (38)

POSCAR file:
```
TmPaIrPt
1.0
4.170 0.000 0.000
0.000 1.859 5.558
0.000 -1.859 5.558
Tm Pa Ir Pt
1 1 1 1
Direct
0.000 0.000 0.000
0.500 0.277 0.277
0.000 0.743 0.743
0.500 0.553 0.553
```

VASP calculation (PBE) on a relaxed ZrPbAu crystal.

Values from the calculation:
Energy of formation, eV per atom: -0.107
Density, g/cm3: 12.0
SG: P-3m1 (164)

POSCAR file:
```
ZrPbAu
1.0
4.806 0.000 0.000
-2.403 4.162 0.000
0.000 0.000 6.882
Zr Pb Au
2 2 2
Direct
0.000 0.000 0.211
0.000 0.000 0.789
0.333 0.667 0.402
0.667 0.333 0.598
0.333 0.667 0.941
0.667 0.333 0.059
```

VASP calculation (PBE) on a relaxed HgPIr4 crystal.

Values from the calculation:
Energy of formation, eV per atom: 0.753
Density, g/cm3: 16.3
SG: F-43m (216)

POSCAR file:
```
HgPIr4
1.0
0.000 3.708 3.708
3.708 0.000 3.708
3.708 3.708 0.000
Hg P Ir
1 1 4
Direct
0.000 0.000 0.000
0.750 0.750 0.750
0.375 0.375 0.375
0.375 0.375 0.875
0.375 0.875 0.375
0.875 0.375 0.375
```